No. 1
# LiPuF3 PBE-GGA relaxed
data_LiPuF3
_symmetry_space_group_name_H-M 'P m -3 m'
_symmetry_Int_Tables_number 221
_symmetry_space_group_name_Hall '-P 4 2 3'
_cell_length_a 3.900
_cell_length_b 3.900
_cell_length_c 3.900
_cell_angle_alpha 90.00
_cell_angle_beta 90.00
_cell_angle_gamma 90.00
loop_
_atom_site_label
_atom_site_type_symbol
_atom_site_fract_x
_atom_site_fract_y
_atom_site_fract_z
Li1 Li 0.000 0.000 0.000
Pu1 Pu 0.500 0.500 0.500
F1 F 0.000 0.000 0.500
# * energy above the lowest structure with this stoichiometry: 0.24 eV/f.u.
# * formation energy (no corrections): -2.95 eV per atom
# * DOS(E_F): 10.87 states/eV per cell

***

No. 2
# NbHgMo2Br PBE-GGA relaxed
data_NbHgMo2Br
_symmetry_space_group_name_H-M 'P 4/m m m'
_symmetry_Int_Tables_number 123
_symmetry_space_group_name_Hall '-P 4 2'
_cell_length_a 4.959
_cell_length_b 4.959
_cell_length_c 5.123
_cell_angle_alpha 90.00
_cell_angle_beta 90.00
_cell_angle_gamma 90.00
loop_
_atom_site_label
_atom_site_type_symbol
_atom_site_fract_x
_atom_site_fract_y
_atom_site_fract_z
Nb1 Nb 0.000 0.000 0.000
Hg1 Hg 0.500 0.500 0.500
Mo1 Mo 0.000 0.500 0.000
Br1 Br 0.000 0.000 0.500
# * formation energy (no corrections): 1.45 eV per atom
# * DOS(E_F): 5.67 states/eV per cell

***

No. 3
# Li2Ac2BiO6 PBE-GGA relaxed
data_Li2Ac2BiO6
_symmetry_space_group_name_H-M 'R -3 m'
_symmetry_Int_Tables_number 166
_symmetry_space_group_name_Hall '-R 3 2"'
_cell_length_a 5.9337
_cell_length_b 5.9337
_cell_length_c 16.5951
_cell_angle_alpha 90.00
_cell_angle_beta 90.00
_cell_angle_gamma 120.00
loop_
_atom_site_label
_atom_site_type_symbol
_atom_site_fract_x
_atom_site_fract_y
_atom_site_fract_z
Li1 Li 0.0000 0.0000 0.0715
Ac1 Ac 0.0000 0.0000 0.2898
Bi1 Bi 0.0000 0.0000 0.5000
O1 O 0.0193 0.5096 0.2616
# * formation energy (no corrections): -2.13 eV per atom
# * DOS(E_F): 6.83 states/eV per cell

***

No. 4
# Nd2Sm3Y7 PBE-GGA relaxed
data_Nd2Sm3Y7
_symmetry_space_group_name_H-M 'P 1 2/m 1'
_symmetry_Int_Tables_number 10
_cell_length_a 5.879
_cell_length_b 3.611
_cell_length_c 18.950
_cell_angle_alpha 90.00
_cell_angle_beta 93.32
_cell_angle_gamma 90.00
loop_
_symmetry_equiv_pos_as_xyz
'x,y,z'
'-x,-y,-z'
'-x,y,-z'
'x,-y,z'
loop_
_atom_site_label
_atom_site_type_symbol
_atom_site_fract_x
_atom_site_fract_y
_atom_site_fract_z
Nd1 Nd 0.208 0.000 0.293
Sm1 Sm 0.000 0.000 0.000
Sm2 Sm 0.279 0.500 0.632
Y1 Y 0.187 0.500 0.142
Y2 Y 0.242 0.000 0.462
Y3 Y 0.310 0.000 0.826
Y4 Y 0.500 0.500 0.000
# * energy above the lowest structure with this stoichiometry: 0.00 eV/f.u.
# * ΔH_f (0 K): 8.2 kJ per mole of atoms
# * DOS(E_F): 15.72 states/eV per cell